VASP calculation (PBE with a Hubbard U) on NdCo2WO6 after structural relaxation.

The density of states at the Fermi level comes out at 0.00 states/eV per cell. Its symmetry is P1, No. 1. The value obtained for the total energy is -7.132 eV/atom.

Cell: 5.4781 5.3895 5.8600 Å, 62.01 61.38 60.08°
Closest atoms and distances in Å follow each position.
Positions (direct):
O 0.2455 0.9429 0.2412  1 W 1.93, 1 Co 2.13
O 0.7139 0.1523 0.7620  1 W 2.03, 2 Co 2.04-2.27
Co 0.5315 0.5167 0.4198  5 O 2.04-2.27
O 0.9283 0.5925 0.2390  1 W 2.07, 2 Co 2.07-2.24
O 0.1525 0.3716 0.7617  2 Co 2.03-2.26, 1 W 2.08
Nd 0.8038 0.7960 0.5896  6 O 2.28-2.53
O 0.3682 0.7066 0.7752  1 W 2.01, 1 Co 2.07
Co 0.0035 0.0235 0.9554  5 O 2.03-2.24
W 0.3230 0.3139 0.0405  6 O 1.93-2.08
O 0.5913 0.2456 0.2307  2 Co 2.04-2.18, 1 W 2.04